(1)
## CsPO2 (PBE)

Data for a geometry-optimized CsPO2 structure.

a b c (Å): 7.1954 7.1954 7.1954
angles (deg): 33.55 33.55 33.55
Last column: nearest neighbours and their distance in Å.
Element x y z (fractional)
1 Cs 0.5000 0.5000 0.5000  6 O 3.03
2 P 0.0000 0.0000 0.0000  2 O 1.54
3 O 0.9245 0.9245 0.9245  1 P 1.54
4 O 0.0755 0.0755 0.0755  1 P 1.54

Results
Calculated density   3.2 g cm⁻³
Crystal system   trigonal
DFT total energy   -5.3146 eV/atom
Formation energy from raw total energies   -1270 meV per atom
Space group   R-3m, No. 166

=====

(2)
## Th2Mn2AlNi5 (PBE)

Data for a geometry-optimized Th2Mn2AlNi5 structure.

a b c (Å): 3.7336 9.1659 9.1659
angles (deg): 90.00 90.00 90.00
Last column: nearest neighbours and their distance in Å.
Element x y z (fractional)
1 Th 0.0000 0.6845 0.1845  3 Mn 2.59-2.82
2 Th 0.0000 0.3155 0.8155  3 Mn 2.59-2.82
3 Th 0.0000 0.1845 0.3155  3 Mn 2.59-2.82
4 Th 0.0000 0.8155 0.6845  3 Mn 2.59-2.82
5 Mn 0.0000 0.1157 0.6157  6 Ni 2.39-2.55, 1 Th 2.59
6 Mn 0.0000 0.8843 0.3843  6 Ni 2.39-2.55, 1 Th 2.59
7 Mn 0.0000 0.6157 0.8843  6 Ni 2.39-2.55, 1 Th 2.59
8 Mn 0.0000 0.3843 0.1157  6 Ni 2.39-2.55, 1 Th 2.59
9 Al 0.0000 0.0000 0.0000  8 Ni 2.69
10 Al 0.0000 0.5000 0.5000  8 Ni 2.69
11 Ni 0.5000 0.2047 0.0542  2 Mn 2.55, 2 Al 2.69, 3 Ni 2.75
12 Ni 0.5000 0.7953 0.9458  2 Mn 2.55, 2 Al 2.69, 3 Ni 2.75
13 Ni 0.5000 0.0542 0.7953  2 Mn 2.55, 2 Al 2.69, 3 Ni 2.75
14 Ni 0.5000 0.7047 0.4458  2 Mn 2.55, 2 Al 2.69, 3 Ni 2.75
15 Ni 0.5000 0.9458 0.2047  2 Mn 2.55, 2 Al 2.69, 3 Ni 2.75
16 Ni 0.5000 0.2953 0.5542  2 Mn 2.55, 2 Al 2.69, 3 Ni 2.75
17 Ni 0.5000 0.5542 0.7047  2 Mn 2.55, 2 Al 2.69, 3 Ni 2.75
18 Ni 0.5000 0.4458 0.2953  2 Mn 2.55, 2 Al 2.69, 3 Ni 2.75
19 Ni 0.5000 0.5000 0.0000  4 Mn 2.39
20 Ni 0.5000 0.0000 0.5000  4 Mn 2.39

Results
Calculated density   9.5 g cm⁻³
ΔE_f   -0.194 eV/atom
Crystal system   tetragonal
DFT total energy   -6.7771 eV/atom
Space group   P4/mbm, No. 127

=====

(3)
## BiH2W (PBE)

Data for a geometry-optimized BiH2W structure.

a b c (Å): 4.1965 4.1965 4.1965
angles (deg): 60.00 60.00 60.00
Last column: nearest neighbours and their distance in Å.
Element x y z (fractional)
1 H 0.2500 0.2500 0.2500  4 W 2.57, 4 Bi 2.57
2 H 0.7500 0.7500 0.7500  4 W 2.57, 4 Bi 2.57
3 Bi 0.5000 0.5000 0.5000  8 H 2.57
4 W 0.0000 0.0000 0.0000  8 H 2.57

Results
Calculated density   12.5 g cm⁻³
Crystal system   cubic
DFT total energy   -4.4022 eV/atom
ΔE to the lowest computed polymorph   901 meV per atom
Space group   Fm-3m, No. 225

=====

(4)
## NdNpC (PBE)

Data for a geometry-optimized NdNpC structure.

a b c (Å): 6.4439 3.4657 3.4657
angles (deg): 120.00 90.00 90.00
Last column: nearest neighbours and their distance in Å.
Element x y z (fractional)
1 Np 0.2180 0.3333 0.6667  3 C 2.38
2 C 0.0189 0.0000 0.0000  3 Np 2.38, 3 Nd 2.59
3 Nd 0.7631 0.6667 0.3333  3 C 2.59

Results
Calculated density   9.7 g cm⁻³
ΔE_f   0.192 eV/atom
Crystal system   trigonal
DFT total energy   -8.7855 eV/atom
ΔE to the lowest computed polymorph   0 meV per atom
Space group   P3m1, No. 156

=====

(5)
## Dy2ThRh (PBE)

Data for a geometry-optimized Dy2ThRh structure.

a b c (Å): 6.4152 7.0960 9.7167
angles (deg): 90.00 90.00 90.00
Last column: nearest neighbours and their distance in Å.
Element x y z (fractional)
1 Dy 0.1664 0.6778 0.0652  2 Rh 2.90-2.91
2 Dy 0.3336 0.1778 0.4348  2 Rh 2.90-2.91
3 Dy 0.8336 0.3222 0.5652  2 Rh 2.90-2.91
4 Dy 0.6664 0.8222 0.9348  2 Rh 2.90-2.91
5 Dy 0.8336 0.3222 0.9348  2 Rh 2.90-2.91
6 Dy 0.6664 0.8222 0.5652  2 Rh 2.90-2.91
7 Dy 0.1664 0.6778 0.4348  2 Rh 2.90-2.91
8 Dy 0.3336 0.1778 0.0652  2 Rh 2.90-2.91
9 Th 0.6539 0.5378 0.2500  2 Rh 2.72-2.81
10 Th 0.8461 0.0378 0.2500  2 Rh 2.72-2.81
11 Th 0.3461 0.4622 0.7500  2 Rh 2.72-2.81
12 Th 0.1539 0.9622 0.7500  2 Rh 2.72-2.81
13 Rh 0.0522 0.3726 0.2500  2 Th 2.72-2.81, 4 Dy 2.90-2.91
14 Rh 0.4478 0.8726 0.2500  2 Th 2.72-2.81, 4 Dy 2.90-2.91
15 Rh 0.9478 0.6274 0.7500  2 Th 2.72-2.81, 4 Dy 2.90-2.91
16 Rh 0.5522 0.1274 0.7500  2 Th 2.72-2.81, 4 Dy 2.90-2.91

Results
Calculated density   9.9 g cm⁻³
ΔE_f   -0.506 eV/atom
Crystal system   orthorhombic
DFT total energy   -6.4999 eV/atom
ΔE to the lowest computed polymorph   0 meV per atom
Space group   Pnma, No. 62

=====

(6)
## TcSbIN2 (PBE)

Data for a geometry-optimized TcSbIN2 structure.

a b c (Å): 4.0457 4.0457 6.9261
angles (deg): 90.00 90.00 90.00
Last column: nearest neighbours and their distance in Å.
Element x y z (fractional)
1 I 0.0000 0.0000 0.5000  4 Tc 2.86
2 Sb 0.0000 0.0000 0.0000  4 N 2.02
3 Tc 0.5000 0.5000 0.5000  4 I 2.86
4 N 0.0000 0.5000 0.0000  2 Sb 2.02
5 N 0.5000 0.0000 0.0000  2 Sb 2.02

Results
Calculated density   5.5 g cm⁻³
Crystal system   tetragonal
DFT total energy   -4.7622 eV/atom
Formation energy from raw total energies   1776 meV per atom
ΔE to the lowest computed polymorph   658 meV per atom
Space group   P4/mmm, No. 123

=====

(7)
## Ac2Ga3Cu6 (PBE)

Data for a geometry-optimized Ac2Ga3Cu6 structure.

a b c (Å): 4.3113 7.5619 7.5619
angles (deg): 120.00 90.00 90.00
Last column: nearest neighbours and their distance in Å.
Element x y z (fractional)
1 Ac 0.0000 0.6667 0.3333  9 Cu 3.22-3.46, 6 Ga 3.25
2 Ac 0.0000 0.3333 0.6667  9 Cu 3.22-3.46, 6 Ga 3.25
3 Ga 0.5000 0.3574 0.3574  5 Cu 2.49-2.67
4 Ga 0.5000 0.6426 0.0000  5 Cu 2.49-2.67
5 Ga 0.5000 0.0000 0.6426  5 Cu 2.49-2.67
6 Cu 0.5000 0.7104 0.7104  3 Ga 2.49-2.67
7 Cu 0.5000 0.0000 0.2896  3 Ga 2.49-2.67
8 Cu 0.0000 0.1878 0.1878  2 Cu 2.46, 2 Ga 2.51
9 Cu 0.0000 0.8122 0.0000  2 Cu 2.46, 2 Ga 2.51
10 Cu 0.5000 0.2896 0.0000  3 Ga 2.49-2.67
11 Cu 0.0000 0.0000 0.8122  2 Cu 2.46, 2 Ga 2.51

Results
Calculated density   8.1 g cm⁻³
ΔE_f   -0.196 eV/atom
Crystal system   hexagonal
DFT total energy   -4.0032 eV/atom
Space group   P-62m, No. 189

=====

(8)
## LaPd3Ru (PBE)

Data for a geometry-optimized LaPd3Ru structure.

a b c (Å): 4.8609 4.8609 4.8609
angles (deg): 90.00 90.00 90.00
Last column: nearest neighbours and their distance in Å.
Element x y z (fractional)
1 Ru 0.0000 0.0000 0.0000  6 Pd 2.43
2 Pd 0.0000 0.5000 0.0000  2 Ru 2.43
3 Pd 0.0000 0.0000 0.5000  2 Ru 2.43
4 Pd 0.5000 0.0000 0.0000  2 Ru 2.43
5 La 0.5000 0.5000 0.5000  12 Pd 3.44

Results
Calculated density   8.1 g cm⁻³
ΔE_f   0.268 eV/atom
Crystal system   cubic
DFT total energy   -5.6879 eV/atom
ΔE to the lowest computed polymorph   0 meV per atom
Space group   Pm-3m, No. 221